Compound: VCoO2
Source: the Alexandria database
Functional: PBE+U
Structure: relaxed

Summary:
Fermi-level density of states = 0.71 states/eV/cell
size of the total moment = 4.1 Bohr magnetons per cell
distance to the lowest polymorph of the same formula = 0 meV/atom
space group = R-3m, No. 166

a = 6.026 Å, b = 6.026 Å, c = 6.026 Å
α = 30.07°, β = 30.07°, γ = 30.07°
Element x y z (fractional)
V (0.000, 0.000, 0.000)
Co (0.500, 0.500, 0.500)
O (0.392, 0.392, 0.392)
O (0.608, 0.608, 0.608)